The following is a PBE calculation of an optimized crystal structure of HfAlFe3, from Alexandria via LeMat-Bulk.

## Properties
Its symmetry is Pm-3m (221). For the energy of formation, the calculation gives 1.4099 eV per atom. For the uncorrected energy, the calculation gives -0.47090 Ry/atom. Its calculated volume is 94 Å³ per cell. Its energy above the most stable polymorph in this dataset is 3.81 eV per formula unit.

Cell lengths 4.552, 4.552, 4.552 Å; angles 90.00, 90.00, 90.00 degrees
Atoms (fractional coordinates):
Hf  0.000  0.000  0.000
Al  0.500  0.500  0.500
Fe  0.000  0.000  0.500
Fe  0.000  0.500  0.000
Fe  0.500  0.000  0.000

***

The following is a PBE calculation of an optimized crystal structure of KV3Pd, from Alexandria via LeMat-Bulk.

## Properties
Its symmetry is Pm-3m (221). For the energy of formation, the calculation gives 1.2451 eV per atom. For the uncorrected energy, the calculation gives -0.40307 Ry/atom. Its calculated volume is 124 Å³ per cell. Its energy above the most stable polymorph in this dataset is 0.00 eV per formula unit.

Cell lengths 4.992, 4.992, 4.992 Å; angles 90.00, 90.00, 90.00 degrees
Atoms (fractional coordinates):
K  0.000  0.000  0.000
V  0.000  0.500  0.500
V  0.500  0.000  0.500
V  0.500  0.500  0.000
Pd  0.500  0.500  0.500

***

The following is a PBE calculation of an optimized crystal structure of Cs7Au4I, from Alexandria via LeMat-Bulk.

## Properties
For the energy relative to the elements, uncorrected, the calculation gives -0.4591 eV/atom. Its symmetry is Cm (8). For the uncorrected energy, the calculation gives -0.16013 Ry/atom. Its calculated volume is 671 Å³ per cell.

Cell lengths 9.146, 9.146, 15.728 Å; angles 105.50, 105.50, 32.04 degrees
Atoms (fractional coordinates):
Cs  0.000  0.000  0.000
Cs  0.087  0.087  0.587
Cs  0.272  0.272  0.443
Cs  0.393  0.393  0.744
Cs  0.505  0.505  0.251
Cs  0.706  0.706  0.854
Cs  0.762  0.762  0.146
Au  0.050  0.050  0.794
Au  0.141  0.141  0.219
Au  0.353  0.353  0.018
Au  0.743  0.743  0.619
I  0.913  0.913  0.381

***

The following is a PBE calculation of an optimized crystal structure of Mn3Cr13, from Alexandria via LeMat-Bulk.

## Properties
Its symmetry is Amm2 (38). For the energy of formation, the calculation gives 0.0056 eV per atom. For the uncorrected energy, the calculation gives -0.70064 Ry/atom. Its calculated volume is 186 Å³ per cell.

Cell lengths 5.703, 5.710, 5.710 Å; angles 89.94, 90.00, 90.00 degrees
Atoms (fractional coordinates):
Mn  0.000  0.000  0.000
Mn  0.251  0.256  0.256
Mn  0.749  0.256  0.256
Cr  0.000  0.004  0.503
Cr  0.000  0.503  0.004
Cr  0.000  0.506  0.506
Cr  0.251  0.256  0.754
Cr  0.251  0.754  0.256
Cr  0.251  0.754  0.754
Cr  0.500  0.003  0.506
Cr  0.500  0.004  0.004
Cr  0.500  0.505  0.505
Cr  0.500  0.506  0.003
Cr  0.749  0.256  0.754
Cr  0.749  0.754  0.256
Cr  0.749  0.754  0.754

***

The following is a PBE calculation of an optimized crystal structure of K2TlHg2, from Alexandria via LeMat-Bulk.

## Properties
Its symmetry is C2/c (15). For the energy of formation, the calculation gives -0.2136 eV per atom. For the uncorrected energy, the calculation gives -0.09162 Ry/atom. Its calculated volume is 366 Å³ per cell. Its energy above the most stable polymorph in this dataset is 0.01 eV per formula unit.

Cell lengths 7.015, 7.015, 9.015 Å; angles 102.23, 102.23, 58.22 degrees
Atoms (fractional coordinates):
K  0.012  0.284  0.144
K  0.284  0.012  0.644
K  0.716  0.988  0.356
K  0.988  0.716  0.856
Tl  0.365  0.635  0.250
Tl  0.635  0.365  0.750
Hg  0.217  0.507  0.501
Hg  0.493  0.783  0.999
Hg  0.507  0.217  0.001
Hg  0.783  0.493  0.499

***

The following is a PBE calculation of an optimized crystal structure of Tl4Mo3, from Alexandria via LeMat-Bulk.

## Properties
Its symmetry is I4/mmm (139). For the energy of formation, the calculation gives 0.6439 eV per atom. For the uncorrected energy, the calculation gives -0.39323 Ry/atom. Its calculated volume is 158 Å³ per cell. Its energy above the most stable polymorph in this dataset is 0.00 eV per formula unit.

Cell lengths 15.695, 15.695, 15.695 Å; angles 168.34, 168.34, 16.52 degrees
Atoms (fractional coordinates):
Tl  0.066  0.066  0.000
Tl  0.342  0.342  0.000
Tl  0.658  0.658  0.000
Tl  0.934  0.934  0.000
Mo  0.229  0.229  0.000
Mo  0.500  0.500  0.000
Mo  0.771  0.771  0.000

***

The following is a PBE calculation of an optimized crystal structure of Ba2Li12Mg3Hg, from Alexandria via LeMat-Bulk.

## Properties
Its symmetry is R-3m (166). For the energy of formation, the calculation gives 0.0768 eV per atom. For the uncorrected energy, the calculation gives -0.12460 Ry/atom. Its calculated volume is 466 Å³ per cell.

Cell lengths 11.579, 11.579, 11.579 Å; angles 35.42, 35.42, 35.42 degrees
Atoms (fractional coordinates):
Ba  0.154  0.154  0.154
Ba  0.846  0.846  0.846
Li  0.080  0.080  0.694
Li  0.080  0.694  0.080
Li  0.155  0.564  0.564
Li  0.306  0.920  0.920
Li  0.436  0.436  0.845
Li  0.436  0.845  0.436
Li  0.564  0.155  0.564
Li  0.564  0.564  0.155
Li  0.694  0.080  0.080
Li  0.845  0.436  0.436
Li  0.920  0.306  0.920
Li  0.920  0.920  0.306
Mg  0.000  0.500  0.500
Mg  0.500  0.000  0.500
Mg  0.500  0.500  0.000
Hg  0.500  0.500  0.500

***

The following is a PBE calculation of an optimized crystal structure of Pm4Sm5Er4, from Alexandria via LeMat-Bulk.

## Properties
Its symmetry is I4/m (87). For the energy of formation, the calculation gives 0.0163 eV per atom. For the uncorrected energy, the calculation gives -0.34283 Ry/atom. Its calculated volume is 428 Å³ per cell.

Cell lengths 9.531, 9.531, 9.531 Å; angles 94.06, 94.06, 149.14 degrees
Atoms (fractional coordinates):
Pm  0.077  0.617  0.694
Pm  0.383  0.077  0.460
Pm  0.617  0.923  0.540
Pm  0.923  0.383  0.306
Sm  0.000  0.000  0.000
Sm  0.309  0.460  0.769
Sm  0.460  0.691  0.152
Sm  0.540  0.309  0.848
Sm  0.691  0.540  0.231
Er  0.154  0.231  0.386
Er  0.231  0.846  0.077
Er  0.769  0.154  0.923
Er  0.846  0.769  0.614